Entry 1:
A geometry-optimized FeRhC2 structure. Source: the Alexandria database, functional PBE-GGA.

Output
As for the formation energy from the elements: 5.1 eV/f.u. The space group is Fm-3m. For the distance to the lowest polymorph of the same formula, the calculation gives 756.7 meV/atom.

Cell: 3.674 3.674 3.674 Å, 60.00 60.00 60.00°
Atoms (fractional coordinates):
C (0.750, 0.750, 0.750)
C (0.250, 0.250, 0.250)
Fe (0.000, 0.000, 0.000)
Rh (0.500, 0.500, 0.500)

=====

Entry 2:
A geometry-optimized Ce3Ho2N4 structure. Source: the Alexandria database, functional PBE-GGA.

Output
The space group is C2/m. For the formation energy (no corrections), the calculation gives -132 kJ/mol of atoms.

Cell: 3.529 6.188 7.874 Å, 76.31 77.05 73.43°
Atoms (fractional coordinates):
N (0.401, 0.301, 0.896)
N (0.202, 0.908, 0.689)
N (0.599, 0.699, 0.104)
N (0.798, 0.092, 0.311)
Ho (0.391, 0.828, 0.389)
Ho (0.609, 0.172, 0.611)
Ce (0.000, 0.000, 0.000)
Ce (0.797, 0.600, 0.806)
Ce (0.203, 0.400, 0.194)

=====

Entry 3:
A geometry-optimized ZnNi2Au6 structure. Source: the Alexandria database, functional PBE-GGA.

Output
As for the formation energy from the elements: 1.2 eV/f.u. The space group is C2/m.

Cell: 4.123 6.287 7.391 Å, 115.17 106.70 90.00°
Atoms (fractional coordinates):
Au (0.500, 0.735, 0.000)
Au (0.500, 0.265, 0.000)
Au (0.167, 0.419, 0.336)
Au (0.833, 0.083, 0.664)
Au (0.833, 0.581, 0.664)
Au (0.167, 0.917, 0.336)
Ni (0.332, 0.331, 0.662)
Ni (0.668, 0.669, 0.338)
Zn (0.000, 0.000, 0.000)

=====

Entry 4:
A geometry-optimized MoRhW structure. Source: the Alexandria database, functional PBE-GGA.

Output
As for the formation energy from the elements: 0.1 eV/f.u. The space group is Amm2. For the distance to the lowest polymorph of the same formula, the calculation gives 86.7 meV/atom.

Cell: 4.495 8.393 4.887 Å, 90.00 90.00 90.00°
Atoms (fractional coordinates):
Mo (0.500, 0.000, 0.769)
Mo (0.000, 0.000, 0.096)
Mo (0.500, 0.500, 0.269)
Mo (0.000, 0.500, 0.596)
W (0.500, 0.666, 0.768)
W (0.500, 0.166, 0.268)
W (0.500, 0.834, 0.268)
W (0.500, 0.334, 0.768)
Rh (0.000, 0.333, 0.097)
Rh (0.000, 0.167, 0.597)
Rh (0.000, 0.833, 0.597)
Rh (0.000, 0.667, 0.097)

=====

Entry 5:
A geometry-optimized SmPu2ScSe4 structure. Source: the Alexandria database, functional PBE-GGA.

Output
The space group is P2/m. For the formation energy (no corrections), the calculation gives -155 kJ/mol of atoms.

Cell: 4.080 7.152 7.025 Å, 109.45 90.00 90.00°
Atoms (fractional coordinates):
Se (0.000, 0.760, 0.245)
Se (0.500, 0.764, 0.762)
Se (0.000, 0.240, 0.755)
Se (0.500, 0.236, 0.238)
Sc (0.000, 0.000, 0.000)
Pu (0.500, 0.000, 0.500)
Pu (0.000, 0.500, 0.500)
Sm (0.500, 0.500, 0.000)

=====

Entry 6:
A geometry-optimized MgZnCrGa structure. Source: the Alexandria database, functional PBE-GGA.

Output
As for the formation energy from the elements: 0.1 eV/f.u. The space group is F-43m.

Cell: 4.497 4.497 4.497 Å, 60.00 60.00 60.00°
Atoms (fractional coordinates):
Zn (0.750, 0.750, 0.750)
Cr (0.000, 0.000, 0.000)
Ga (0.250, 0.250, 0.250)
Mg (0.500, 0.500, 0.500)

=====

Entry 7:
A geometry-optimized KYHf structure. Source: the Alexandria database, functional PBE-GGA.

Output
As for the formation energy from the elements: 1.1 eV/f.u. The space group is Pnma. For the distance to the lowest polymorph of the same formula, the calculation gives 59.4 meV/atom.

Cell: 4.332 4.771 25.045 Å, 90.00 90.00 90.00°
Atoms (fractional coordinates):
K (0.250, 0.250, 0.070)
K (0.250, 0.750, 0.570)
K (0.750, 0.750, 0.930)
K (0.750, 0.250, 0.430)
Hf (0.749, 0.750, 0.713)
Hf (0.251, 0.250, 0.287)
Hf (0.751, 0.250, 0.213)
Hf (0.249, 0.750, 0.787)
Y (0.251, 0.750, 0.197)
Y (0.751, 0.750, 0.303)
Y (0.249, 0.250, 0.697)
Y (0.749, 0.250, 0.803)

=====

Entry 8:
A geometry-optimized Tb2Pr4Dy3 structure. Source: the Alexandria database, functional PBE-GGA.

Output
As for the formation energy from the elements: 1.2 eV/f.u. The space group is C2/c. For the distance to the lowest polymorph of the same formula, the calculation gives 94.2 meV/atom.

Cell: 6.440 9.926 9.926 Å, 74.42 93.84 93.84°
Atoms (fractional coordinates):
Dy (0.082, 0.976, 0.825)
Dy (0.250, 0.478, 0.522)
Dy (0.750, 0.522, 0.478)
Dy (0.918, 0.024, 0.175)
Dy (0.418, 0.175, 0.024)
Dy (0.582, 0.825, 0.976)
Pr (0.977, 0.307, 0.815)
Pr (0.419, 0.470, 0.184)
Pr (0.581, 0.530, 0.816)
Pr (0.919, 0.184, 0.470)
Pr (0.081, 0.816, 0.530)
Pr (0.023, 0.693, 0.185)
Pr (0.523, 0.185, 0.693)
Pr (0.477, 0.815, 0.307)
Tb (0.898, 0.366, 0.130)
Tb (0.602, 0.870, 0.634)
Tb (0.398, 0.130, 0.366)
Tb (0.102, 0.634, 0.870)